(1)
Here is a relaxed structure of Cs3TmPu2O9 from the Alexandria database. Energies are from GGA-PBE.

Values from the calculation:
Volume, Å³ per cell: 250.7
Energy, eV per cell: -117.08
Symmetry: No. 164

abc: 6.180 6.180 7.579
angles: 90.00 90.00 120.00
Atoms (fractional coordinates):
1 Cs 0.000 0.000 0.000
2 Cs 0.333 0.667 0.663
3 Cs 0.667 0.333 0.337
4 Tm 0.000 0.000 0.500
5 Pu 0.333 0.667 0.166
6 Pu 0.667 0.333 0.834
7 O 0.000 0.500 0.000
8 O 0.176 0.352 0.322
9 O 0.176 0.824 0.322
10 O 0.352 0.176 0.678
11 O 0.500 0.000 0.000
12 O 0.500 0.500 0.000
13 O 0.648 0.824 0.322
14 O 0.824 0.176 0.678
15 O 0.824 0.648 0.678

(2)
Here is a relaxed structure of CsTmPu2O8 from the Alexandria database. Energies are from GGA-PBE.

Values from the calculation:
Volume, Å³ per cell: 280.3
Energy, eV per cell: -100.71
Symmetry: No. 164

abc: 6.238 6.238 8.317
angles: 90.00 90.00 120.00
Atoms (fractional coordinates):
1 Cs 0.000 0.000 0.000
2 Tm 0.000 0.000 0.500
3 Pu 0.333 0.667 0.240
4 Pu 0.667 0.333 0.760
5 O 0.165 0.331 0.338
6 O 0.165 0.835 0.338
7 O 0.331 0.165 0.662
8 O 0.333 0.667 0.013
9 O 0.667 0.333 0.987
10 O 0.669 0.835 0.338
11 O 0.835 0.165 0.662
12 O 0.835 0.669 0.662

(3)
Here is a relaxed structure of Cs2PuU3O12 from the Alexandria database. Energies are from GGA-PBE.

Values from the calculation:
Volume, Å³ per cell: 357.3
Energy, eV per cell: -162.66
Symmetry: No. 166

abc: 7.915 7.915 7.915
angles: 60.85 60.85 60.85
Atoms (fractional coordinates):
1 Cs 0.126 0.126 0.126
2 Cs 0.874 0.874 0.874
3 Pu 0.500 0.500 0.500
4 U 0.000 0.500 0.500
5 U 0.500 0.000 0.500
6 U 0.500 0.500 0.000
7 O 0.173 0.567 0.567
8 O 0.188 0.188 0.565
9 O 0.188 0.565 0.188
10 O 0.433 0.433 0.827
11 O 0.433 0.827 0.433
12 O 0.435 0.812 0.812
13 O 0.565 0.188 0.188
14 O 0.567 0.173 0.567
15 O 0.567 0.567 0.173
16 O 0.812 0.435 0.812
17 O 0.812 0.812 0.435
18 O 0.827 0.433 0.433

(4)
Here is a relaxed structure of Cs4PuU3O12 from the Alexandria database. Energies are from GGA-PBE.

Values from the calculation:
Volume, Å³ per cell: 346.7
Energy, eV per cell: -166.05
Symmetry: No. 229

abc: 7.665 7.665 7.665
angles: 109.47 109.47 109.47
Atoms (fractional coordinates):
1 Cs 0.000 0.000 0.500
2 Cs 0.000 0.500 0.000
3 Cs 0.500 0.000 0.000
4 Cs 0.500 0.500 0.500
5 Pu 0.000 0.000 0.000
6 U 0.000 0.500 0.500
7 U 0.500 0.000 0.500
8 U 0.500 0.500 0.000
9 O 0.000 0.266 0.266
10 O 0.000 0.734 0.734
11 O 0.250 0.500 0.750
12 O 0.250 0.750 0.500
13 O 0.266 0.000 0.266
14 O 0.266 0.266 0.000
15 O 0.500 0.250 0.750
16 O 0.500 0.750 0.250
17 O 0.734 0.000 0.734
18 O 0.734 0.734 0.000
19 O 0.750 0.250 0.500
20 O 0.750 0.500 0.250

(5)
Here is a relaxed structure of Cs3PuU2O9 from the Alexandria database. Energies are from GGA-PBE.

Values from the calculation:
Volume, Å³ per cell: 258.8
Energy, eV per cell: -124.89
Symmetry: No. 164

abc: 6.249 6.249 7.653
angles: 90.00 90.00 120.00
Atoms (fractional coordinates):
1 Cs 0.000 0.000 0.000
2 Cs 0.333 0.667 0.665
3 Cs 0.667 0.333 0.335
4 Pu 0.000 0.000 0.500
5 U 0.333 0.667 0.167
6 U 0.667 0.333 0.833
7 O 0.000 0.500 0.000
8 O 0.174 0.348 0.324
9 O 0.174 0.826 0.324
10 O 0.348 0.174 0.676
11 O 0.500 0.000 0.000
12 O 0.500 0.500 0.000
13 O 0.652 0.826 0.324
14 O 0.826 0.174 0.676
15 O 0.826 0.652 0.676

(6)
Here is a relaxed structure of CsPuUO6 from the Alexandria database. Energies are from GGA-PBE.

Values from the calculation:
Volume, Å³ per cell: 351.9
Energy, eV per cell: -163.47
Symmetry: No. 74

abc: 7.929 7.929 7.929
angles: 120.80 119.40 89.83
Atoms (fractional coordinates):
1 Cs 0.372 0.122 0.250
2 Cs 0.628 0.878 0.750
3 Pu 0.000 0.000 0.500
4 Pu 0.000 0.500 0.000
5 U 0.000 0.500 0.500
6 U 0.500 0.500 0.000
7 O 0.065 0.434 0.254
8 O 0.065 0.811 0.630
9 O 0.066 0.816 0.250
10 O 0.314 0.564 0.750
11 O 0.319 0.189 0.754
12 O 0.319 0.566 0.130
13 O 0.681 0.434 0.870
14 O 0.681 0.811 0.246
15 O 0.686 0.436 0.250
16 O 0.934 0.184 0.750
17 O 0.935 0.189 0.370
18 O 0.935 0.566 0.746

The highest volume belongs to which entry?
Cs2PuU3O12

What is the volume in the fourth record?
346.7 Å³ per cell

Which of these has the highest volume?
Cs2PuU3O12